# ZrTaTe | OQMD via LeMat-Bulk | PBE-GGA | relaxed
data_ZrTaTe
_chemical_formula_sum 'Zr4 Ta4 Te4'
_cell_length_a 6.5791
_cell_length_b 6.5791
_cell_length_c 6.5791
_cell_angle_alpha 90.00
_cell_angle_beta 90.00
_cell_angle_gamma 90.00
_space_group_name_H-M_alt 'F -4 3 m'
_space_group_IT_number 216
_space_group_name_Hall 'F -4 2 3'
loop_
_atom_site_label
_atom_site_type_symbol
_atom_site_fract_x
_atom_site_fract_y
_atom_site_fract_z
Zr1 Zr 0.0000 0.0000 0.0000
Ta1 Ta 0.0000 0.0000 0.5000
Te1 Te 0.2500 0.2500 0.7500
# relative energy among the computed polymorphs	0	meV per atom
# M_tot	0.0	μB/f.u.
# total energy	-7.432	eV per atom